Run P
A geometry-optimized Be2RuAu structure. Source: the Alexandria database, functional PBE.

- space-group type = No. 225
- spin magnetization (μB/cell) = 0.0

```
4
Lattice="0.000 2.850 2.850 2.850 0.000 2.850 2.850 2.850 0.000" Properties=species:S:1:pos:R:3 pbc="T T T"
Be 1.425 1.425 1.425
Be 4.276 4.276 4.276
Ru 0.000 0.000 0.000
Au 2.850 2.850 2.850
```

Run Q
A geometry-optimized Be2RuAu structure. Source: the Alexandria database, functional PBE.

- space-group type = No. 122
- spin magnetization (μB/cell) = 0.0

```
8
Lattice="-3.067 3.067 2.742 3.067 -3.067 2.742 3.067 3.067 -2.742" Properties=species:S:1:pos:R:3 pbc="T T T"
Be 4.600 1.490 -0.686
Be 1.490 1.533 0.686
Be -1.533 1.577 2.057
Be 1.577 1.533 3.428
Ru 0.000 0.000 0.000
Ru 0.000 3.067 1.371
Au 3.067 0.000 1.371
Au 0.000 0.000 2.742
```

Run R
A geometry-optimized Be2RuAu structure. Source: the Alexandria database, functional PBE.

- space-group type = No. 123
- spin magnetization (μB/cell) = 0.0

```
4
Lattice="3.950 0.000 0.000 0.000 3.950 0.000 0.000 0.000 3.006" Properties=species:S:1:pos:R:3 pbc="T T T"
Be 0.000 1.975 0.000
Be 1.975 0.000 0.000
Ru 0.000 0.000 1.503
Au 1.975 1.975 1.503
```

Run S
A geometry-optimized Be2RuAu structure. Source: the Alexandria database, functional PBE.

- space-group type = No. 166
- spin magnetization (μB/cell) = 0.0

```
4
Lattice="1.402 0.810 7.417 -1.402 0.810 7.417 0.000 -1.619 7.417" Properties=species:S:1:pos:R:3 pbc="T T T"
Be 0.000 0.000 5.433
Be 0.000 0.000 16.817
Ru 0.000 0.000 11.125
Au 0.000 0.000 0.000
```

Sorted by energy, starting with the most stable: run R, run P, run S, run Q.

Run P
A geometry-optimized Be2RuAu structure. Source: the Alexandria database, functional PBE.

- space-group type = No. 8
- spin magnetization (μB/cell) = 0.7

```
4
Lattice="4.383 -1.377 0.000 4.383 1.377 0.000 -1.108 0.000 4.033" Properties=species:S:1:pos:R:3 pbc="T T T"
Be 0.000 0.000 0.000
Be 6.048 0.000 1.404
Ru 3.701 0.000 1.895
Au 1.248 0.000 3.480
```

Run Q
A geometry-optimized Be2RuAu structure. Source: the Alexandria database, functional PBE.

- space-group type = No. 25
- spin magnetization (μB/cell) = 0.0

```
4
Lattice="2.880 0.000 0.000 0.000 2.910 0.000 0.000 0.000 5.743" Properties=species:S:1:pos:R:3 pbc="T T T"
Be 0.000 0.000 0.000
Be 1.440 1.455 1.150
Ru 0.000 0.000 2.307
Au 1.440 1.455 4.348
```

Run R
A geometry-optimized Be2RuAu structure. Source: the Alexandria database, functional PBE.

- space-group type = No. 12
- spin magnetization (μB/cell) = 0.0

```
4
Lattice="3.671 -1.505 0.000 3.671 1.505 0.000 -1.349 0.000 4.515" Properties=species:S:1:pos:R:3 pbc="T T T"
Be 1.515 0.000 0.941
Be 4.479 0.000 3.574
Ru 3.671 0.000 0.000
Au -0.674 0.000 2.258
```

Sorted by energy, starting with the most stable: run Q, run P, run R.

Run P
A geometry-optimized Be3RuAu structure. Source: the Alexandria database, functional PBE.

- space-group type = No. 221
- spin magnetization (μB/cell) = 0.8

```
5
Lattice="4.184 0.000 0.000 0.000 4.184 0.000 0.000 0.000 4.184" Properties=species:S:1:pos:R:3 pbc="T T T"
Be 0.000 0.000 2.092
Be 0.000 2.092 0.000
Be 2.092 0.000 0.000
Ru 2.092 2.092 2.092
Au 0.000 0.000 0.000
```

Run Q
A geometry-optimized Be3RuAu structure. Source: the Alexandria database, functional PBE.

- space-group type = No. 221
- spin magnetization (μB/cell) = 0.0

```
5
Lattice="4.133 0.000 0.000 0.000 4.133 0.000 0.000 0.000 4.133" Properties=species:S:1:pos:R:3 pbc="T T T"
Be 0.000 0.000 2.067
Be 0.000 2.067 0.000
Be 2.067 0.000 0.000
Ru 0.000 0.000 0.000
Au 2.067 2.067 2.067
```

Sorted by energy, starting with the most stable: run Q, run P.